Entry 1:
A relaxed structure of PmSmRu2, computed with GGA-PBEsol.

Cell: 6.8367 6.8367 6.8367 Å, 90.00 90.00 90.00°
Space group Fm-3m (No. 225)
One atom of each set of equivalent atoms:
Pm 0.0000 0.0000 0.0000 (multiplicity 4)
Sm 0.0000 0.0000 0.5000 (multiplicity 4)
Ru 0.2500 0.2500 0.2500 (multiplicity 8)

E_form: -68 meV/atom

=====

Entry 2:
A relaxed structure of PmS, computed with GGA-PBEsol.

Cell: 5.6260 5.6260 5.6260 Å, 90.00 90.00 90.00°
Space group Fm-3m (No. 225)
One atom of each set of equivalent atoms:
Pm 0.0000 0.0000 0.0000 (multiplicity 4)
S 0.0000 0.0000 0.5000 (multiplicity 4)

ΔE_f (raw): -2.133 eV per atom

=====

Entry 3:
A relaxed structure of PmSc3, computed with GGA-PBEsol.

Cell: 4.7319 4.7319 9.0790 Å, 90.00 90.00 90.00°
Space group I4/mmm (No. 139)
One atom of each set of equivalent atoms:
Pm 0.0000 0.0000 0.0000 (multiplicity 2)
Sc 0.0000 0.0000 0.5000 (multiplicity 2)
Sc 0.0000 0.5000 0.2500 (multiplicity 4)

E_form: 55 meV/atom

=====

Entry 4:
A relaxed structure of PmSe, computed with GGA-PBEsol.

Cell: 5.8465 5.8465 5.8465 Å, 90.00 90.00 90.00°
Space group Fm-3m (No. 225)
One atom of each set of equivalent atoms:
Pm 0.0000 0.0000 0.0000 (multiplicity 4)
Se 0.0000 0.0000 0.5000 (multiplicity 4)

ΔE_f (raw): -1.893 eV per atom

=====

Entry 5:
A relaxed structure of Pm2Se3, computed with GGA-PBEsol.

Cell: 11.3139 4.0938 10.9074 Å, 90.00 90.00 90.00°
Space group Pnma (No. 62)
One atom of each set of equivalent atoms:
Pm 0.0122 0.2500 0.1867 (multiplicity 4)
Pm 0.1945 0.2500 0.5012 (multiplicity 4)
Se 0.0444 0.7500 0.3758 (multiplicity 4)
Se 0.1213 0.2500 0.9430 (multiplicity 4)
Se 0.2287 0.7500 0.7013 (multiplicity 4)

ΔE_f (raw): -1.924 eV per atom

=====

Entry 6:
A relaxed structure of Pm2Se3, computed with GGA-PBEsol.

Cell: 8.7293 8.7293 26.2039 Å, 90.00 90.00 90.00°
Space group I-42d (No. 122)
One atom of each set of equivalent atoms:
Pm 0.0000 0.0000 0.1669 (multiplicity 8)
Pm 0.1193 0.7500 0.6250 (multiplicity 8)
Pm 0.1327 0.7432 0.9599 (multiplicity 16)
Se 0.0745 0.6729 0.1826 (multiplicity 16)
Se 0.0747 0.6780 0.8528 (multiplicity 16)
Se 0.0803 0.6731 0.5154 (multiplicity 16)

ΔE_f (raw): -1.920 eV per atom

=====

Entry 7:
A relaxed structure of PmSe2, computed with GGA-PBEsol.

Cell: 4.0824 4.0824 8.3970 Å, 90.00 90.00 90.00°
Space group P4/nmm (No. 129, origin choice 2)
One atom of each set of equivalent atoms:
Pm 0.2500 0.2500 0.2270 (multiplicity 2)
Se 0.2500 0.2500 0.8679 (multiplicity 2)
Se 0.2500 0.7500 0.5000 (multiplicity 2)

relative energy among the computed polymorphs: 0.79 kJ per mole of atoms
ΔE_f (raw): -1.665 eV per atom

=====

Entry 8:
A relaxed structure of PmSe2, computed with GGA-PBEsol.

Cell: 8.3777 4.0914 8.2400 Å, 90.00 90.06 90.00°
Space group P2_1/c (No. 14)
One atom of each set of equivalent atoms:
Pm 0.2261 0.2282 0.3740 (multiplicity 4)
Se 0.1318 0.7455 0.1250 (multiplicity 4)
Se 0.4989 0.6957 0.3795 (multiplicity 4)

relative energy among the computed polymorphs: 0.00 kJ per mole of atoms
ΔE_f (raw): -1.674 eV per atom

=====

Entry 9:
A relaxed structure of Pm3Si, computed with GGA-PBEsol.

Cell: 4.6606 4.6606 4.6606 Å, 90.00 90.00 90.00°
Space group Pm-3m (No. 221)
One atom of each set of equivalent atoms:
Pm 0.0000 0.0000 0.5000 (multiplicity 3)
Si 0.5000 0.5000 0.5000 (multiplicity 1)

ΔE_f (raw): -0.322 eV per atom

=====

Entry 10:
A relaxed structure of PmSi3, computed with GGA-PBEsol.

Cell: 6.0543 6.0543 4.5962 Å, 90.00 90.00 120.00°
Space group P6_3/mmc (No. 194)
One atom of each set of equivalent atoms:
Pm 0.3333 0.6667 0.2500 (multiplicity 2)
Si 0.1381 0.2763 0.7500 (multiplicity 6)

ΔE_f (raw): -0.380 eV per atom

=====

Entry 11:
A relaxed structure of PmSm3, computed with GGA-PBEsol.

Cell: 5.0221 5.0221 10.0356 Å, 90.00 90.00 90.00°
Space group I4/mmm (No. 139)
One atom of each set of equivalent atoms:
Pm 0.0000 0.0000 0.0000 (multiplicity 2)
Sm 0.0000 0.0000 0.5000 (multiplicity 2)
Sm 0.0000 0.5000 0.2500 (multiplicity 4)

relative energy among the computed polymorphs: 0.01 kJ per mole of atoms
E_form: 5 meV/atom

=====

Entry 12:
A relaxed structure of PmSm3, computed with GGA-PBEsol.

Cell: 5.0203 5.0203 5.0203 Å, 90.00 90.00 90.00°
Space group Pm-3m (No. 221)
One atom of each set of equivalent atoms:
Pm 0.0000 0.0000 0.0000 (multiplicity 1)
Sm 0.0000 0.5000 0.5000 (multiplicity 3)

relative energy among the computed polymorphs: 0.00 kJ per mole of atoms
E_form: 5 meV/atom